1.
A plane-wave DFT calculation with PBE was carried out for a relaxed structure of La4Te2Pb.

energy relative to the elements, uncorrected = -1.005 eV per atom
space group = No. 141
calculated density = 6.6 Mg/m³

POSCAR file:
```
La4Te2Pb
1.0
8.643 -1.274 -0.184
-1.895 8.529 0.184
-3.239 -3.754 7.192
La Te Pb
8 4 2
Cartesian
4.127 -2.996 4.810
-0.176 -2.377 5.819
4.702 1.549 4.879
1.151 3.155 1.372
2.118 -1.127 2.198
0.397 2.172 5.888
6.610 -0.226 2.129
5.647 4.054 1.305
2.261 -0.412 5.347
2.935 5.727 1.845
3.881 1.465 1.753
-2.058 0.223 5.438
3.510 3.501 7.191
-0.880 4.201 3.689
```


2.
A plane-wave DFT calculation with PBE was carried out for a relaxed structure of LaTePb2.

energy relative to the elements, uncorrected = -0.633 eV per atom
space group = No. 99
calculated density = 8.2 Mg/m³

POSCAR file:
```
LaTePb2
1.0
-0.833 3.043 -3.176
-4.398 -0.452 0.720
0.259 4.989 4.713
Pb La Te
2 1 1
Cartesian
-2.569 2.189 -0.384
0.011 0.212 0.201
-2.437 4.735 2.021
0.153 2.938 2.775
```


3.
A plane-wave DFT calculation with PBE was carried out for a relaxed structure of LaTePb2.

energy relative to the elements, uncorrected = -0.609 eV per atom
space group = No. 12
calculated density = 8.5 Mg/m³

POSCAR file:
```
LaTePb2
1.0
6.808 0.008 0.009
-3.700 5.715 0.009
1.541 2.837 3.411
Te La Pb
1 1 2
Cartesian
4.174 1.423 1.710
-1.080 4.276 1.710
0.000 0.000 0.000
1.554 2.862 0.009
```


4.
A plane-wave DFT calculation with PBE was carried out for a relaxed structure of LaTePb2.

energy relative to the elements, uncorrected = -0.104 eV per atom
space group = No. 166
calculated density = 8.4 Mg/m³

POSCAR file:
```
LaTePb2
1.0
-9.070 -0.617 -3.330
-7.484 -4.184 -4.496
-8.906 -3.729 -0.706
Pb La Te
2 1 1
Cartesian
-12.963 -4.343 -4.344
-25.226 -8.452 -8.454
-19.095 -6.397 -6.399
-6.365 -2.132 -2.133
```


Among the records above, which one has the highest calculated density? number 3


energy relative to the elements, uncorrected of number 1 (La4Te2Pb)? -1.005 eV per atom


Which value of energy relative to the elements, uncorrected does entry 2 give? -0.633 eV per atom